(1)
The following is a DFT calculation (PBE) of NdHfRe after structural relaxation.

Geometry as CIF:
```
data_NdHfRe
_cell_length_a 4.691
_cell_length_b 4.691
_cell_length_c 4.691
_cell_angle_alpha 60.00
_cell_angle_beta 60.00
_cell_angle_gamma 60.00
_symmetry_space_group_name_H-M 'P 1'
_symmetry_Int_Tables_number 1
loop_
_symmetry_equiv_pos_as_xyz
'x,y,z'
loop_
_atom_site_label
_atom_site_fract_x
_atom_site_fract_y
_atom_site_fract_z
Hf1 0.250 0.250 0.250
Nd1 0.000 0.000 0.000
Re1 0.750 0.750 0.750
```

**Energy of formation from the pure elements**: 1.4936 eV/atom

(2)
The following is a DFT calculation (PBE) of NdHfSb after structural relaxation.

Geometry as CIF:
```
data_NdHfSb
_cell_length_a 4.976
_cell_length_b 4.976
_cell_length_c 4.976
_cell_angle_alpha 60.00
_cell_angle_beta 60.00
_cell_angle_gamma 60.00
_symmetry_space_group_name_H-M 'P 1'
_symmetry_Int_Tables_number 1
loop_
_symmetry_equiv_pos_as_xyz
'x,y,z'
loop_
_atom_site_label
_atom_site_fract_x
_atom_site_fract_y
_atom_site_fract_z
Hf1 0.250 0.250 0.250
Nd1 0.750 0.750 0.750
Sb1 0.000 0.000 0.000
```

**E_tot**: -6.416 eV/atom

(3)
The following is a DFT calculation (PBE) of NdHf3Si4 after structural relaxation.

Geometry as CIF:
```
data_NdHf3Si4
_cell_length_a 5.419
_cell_length_b 3.800
_cell_length_c 7.262
_cell_angle_alpha 90.00
_cell_angle_beta 91.18
_cell_angle_gamma 90.00
_symmetry_space_group_name_H-M 'P 1'
_symmetry_Int_Tables_number 1
loop_
_symmetry_equiv_pos_as_xyz
'x,y,z'
loop_
_atom_site_label
_atom_site_fract_x
_atom_site_fract_y
_atom_site_fract_z
Hf1 0.122 0.000 0.330
Hf2 0.882 0.500 0.677
Hf3 0.374 0.000 0.815
Nd1 0.626 0.500 0.178
Si1 0.136 0.500 0.032
Si2 0.636 0.000 0.476
Si3 0.355 0.500 0.548
Si4 0.869 0.000 0.944
```

**E_tot**: -7.748 eV/atom

(4)
The following is a DFT calculation (PBE) of Nd2HfSi2 after structural relaxation.

Geometry as CIF:
```
data_Nd2HfSi2
_cell_length_a 7.328
_cell_length_b 7.328
_cell_length_c 4.374
_cell_angle_alpha 90.00
_cell_angle_beta 90.00
_cell_angle_gamma 90.00
_symmetry_space_group_name_H-M 'P 1'
_symmetry_Int_Tables_number 1
loop_
_symmetry_equiv_pos_as_xyz
'x,y,z'
loop_
_atom_site_label
_atom_site_fract_x
_atom_site_fract_y
_atom_site_fract_z
Hf1 0.000 0.000 0.000
Hf2 0.500 0.500 0.000
Nd1 0.324 0.176 0.500
Nd2 0.824 0.324 0.500
Nd3 0.176 0.676 0.500
Nd4 0.676 0.824 0.500
Si1 0.624 0.124 0.000
Si2 0.124 0.376 0.000
Si3 0.876 0.624 0.000
Si4 0.376 0.876 0.000
```

**E_tot**: -6.652 eV/atom

(5)
The following is a DFT calculation (PBE) of Nd3HfSi4 after structural relaxation.

Geometry as CIF:
```
data_Nd3HfSi4
_cell_length_a 5.768
_cell_length_b 3.873
_cell_length_c 7.940
_cell_angle_alpha 90.00
_cell_angle_beta 91.50
_cell_angle_gamma 90.00
_symmetry_space_group_name_H-M 'P 1'
_symmetry_Int_Tables_number 1
loop_
_symmetry_equiv_pos_as_xyz
'x,y,z'
loop_
_atom_site_label
_atom_site_fract_x
_atom_site_fract_y
_atom_site_fract_z
Hf1 0.620 0.000 0.817
Nd1 0.384 0.500 0.176
Nd2 0.881 0.000 0.319
Nd3 0.122 0.500 0.681
Si1 0.857 0.500 0.021
Si2 0.385 0.000 0.473
Si3 0.632 0.500 0.556
Si4 0.120 0.000 0.957
```

**E_tot**: -6.434 eV/atom

(6)
The following is a DFT calculation (PBE) of NdHfSn after structural relaxation.

Geometry as CIF:
```
data_NdHfSn
_cell_length_a 5.131
_cell_length_b 5.131
_cell_length_c 5.131
_cell_angle_alpha 60.00
_cell_angle_beta 60.00
_cell_angle_gamma 60.00
_symmetry_space_group_name_H-M 'P 1'
_symmetry_Int_Tables_number 1
loop_
_symmetry_equiv_pos_as_xyz
'x,y,z'
loop_
_atom_site_label
_atom_site_fract_x
_atom_site_fract_y
_atom_site_fract_z
Hf1 0.250 0.250 0.250
Nd1 0.000 0.000 0.000
Sn1 0.750 0.750 0.750
```

**E_tot**: -5.557 eV/atom

(7)
The following is a DFT calculation (PBE) of SrNdHf after structural relaxation.

Geometry as CIF:
```
data_SrNdHf
_cell_length_a 5.492
_cell_length_b 5.492
_cell_length_c 5.492
_cell_angle_alpha 60.00
_cell_angle_beta 60.00
_cell_angle_gamma 60.00
_symmetry_space_group_name_H-M 'P 1'
_symmetry_Int_Tables_number 1
loop_
_symmetry_equiv_pos_as_xyz
'x,y,z'
loop_
_atom_site_label
_atom_site_fract_x
_atom_site_fract_y
_atom_site_fract_z
Hf1 0.000 0.000 0.000
Nd1 0.250 0.250 0.250
Sr1 0.750 0.750 0.750
```

**E_tot**: -4.389 eV/atom

(8)
The following is a DFT calculation (PBE) of NdHfTc after structural relaxation.

Geometry as CIF:
```
data_NdHfTc
_cell_length_a 4.669
_cell_length_b 4.669
_cell_length_c 4.669
_cell_angle_alpha 60.00
_cell_angle_beta 60.00
_cell_angle_gamma 60.00
_symmetry_space_group_name_H-M 'P 1'
_symmetry_Int_Tables_number 1
loop_
_symmetry_equiv_pos_as_xyz
'x,y,z'
loop_
_atom_site_label
_atom_site_fract_x
_atom_site_fract_y
_atom_site_fract_z
Hf1 0.250 0.250 0.250
Nd1 0.000 0.000 0.000
Tc1 0.750 0.750 0.750
```

**Energy of formation from the pure elements**: 1.2616 eV/atom

(9)
The following is a DFT calculation (PBE) of NdHfTe after structural relaxation.

Geometry as CIF:
```
data_NdHfTe
_cell_length_a 4.975
_cell_length_b 4.975
_cell_length_c 4.975
_cell_angle_alpha 60.00
_cell_angle_beta 60.00
_cell_angle_gamma 60.00
_symmetry_space_group_name_H-M 'P 1'
_symmetry_Int_Tables_number 1
loop_
_symmetry_equiv_pos_as_xyz
'x,y,z'
loop_
_atom_site_label
_atom_site_fract_x
_atom_site_fract_y
_atom_site_fract_z
Hf1 0.250 0.250 0.250
Nd1 0.750 0.750 0.750
Te1 0.000 0.000 0.000
```

**E_tot**: -6.047 eV/atom

(10)
The following is a DFT calculation (PBE) of NdYHf after structural relaxation.

Geometry as CIF:
```
data_NdYHf
_cell_length_a 5.243
_cell_length_b 5.243
_cell_length_c 5.243
_cell_angle_alpha 60.00
_cell_angle_beta 60.00
_cell_angle_gamma 60.00
_symmetry_space_group_name_H-M 'P 1'
_symmetry_Int_Tables_number 1
loop_
_symmetry_equiv_pos_as_xyz
'x,y,z'
loop_
_atom_site_label
_atom_site_fract_x
_atom_site_fract_y
_atom_site_fract_z
Hf1 0.000 0.000 0.000
Nd1 0.250 0.250 0.250
Y1 0.750 0.750 0.750
```

**Energy of formation from the pure elements**: 0.8574 eV/atom

(11)
The following is a DFT calculation (PBE) of NdHfZr after structural relaxation.

Geometry as CIF:
```
data_NdHfZr
_cell_length_a 5.024
_cell_length_b 5.024
_cell_length_c 5.024
_cell_angle_alpha 60.00
_cell_angle_beta 60.00
_cell_angle_gamma 60.00
_symmetry_space_group_name_H-M 'P 1'
_symmetry_Int_Tables_number 1
loop_
_symmetry_equiv_pos_as_xyz
'x,y,z'
loop_
_atom_site_label
_atom_site_fract_x
_atom_site_fract_y
_atom_site_fract_z
Hf1 0.000 0.000 0.000
Nd1 0.250 0.250 0.250
Zr1 0.750 0.750 0.750
```

**Energy of formation from the pure elements**: 0.9044 eV/atom

(12)
The following is a DFT calculation (PBE) of HfNi after structural relaxation.

Geometry as CIF:
```
data_HfNi
_cell_length_a 3.237
_cell_length_b 4.077
_cell_length_c 5.154
_cell_angle_alpha 90.00
_cell_angle_beta 71.70
_cell_angle_gamma 90.00
_symmetry_space_group_name_H-M 'P 1'
_symmetry_Int_Tables_number 1
loop_
_symmetry_equiv_pos_as_xyz
'x,y,z'
loop_
_atom_site_label
_atom_site_fract_x
_atom_site_fract_y
_atom_site_fract_z
Hf1 0.860 0.250 0.281
Hf2 0.140 0.750 0.719
Ni1 0.416 0.750 0.168
Ni2 0.584 0.250 0.832
```

**Energy of formation from the pure elements**: -0.5185 eV/atom

(13)
The following is a DFT calculation (PBE) of Hf2Ni after structural relaxation.

Geometry as CIF:
```
data_Hf2Ni
_cell_length_a 5.491
_cell_length_b 5.491
_cell_length_c 5.491
_cell_angle_alpha 60.00
_cell_angle_beta 60.00
_cell_angle_gamma 60.00
_symmetry_space_group_name_H-M 'P 1'
_symmetry_Int_Tables_number 1
loop_
_symmetry_equiv_pos_as_xyz
'x,y,z'
loop_
_atom_site_label
_atom_site_fract_x
_atom_site_fract_y
_atom_site_fract_z
Hf1 0.625 0.625 0.125
Hf2 0.625 0.125 0.625
Hf3 0.125 0.625 0.625
Hf4 0.625 0.625 0.625
Ni1 0.000 0.000 0.000
Ni2 0.250 0.250 0.250
```

**Energy of formation from the pure elements**: 0.7312 eV/atom

(14)
The following is a DFT calculation (PBE) of Hf3Ni after structural relaxation.

Geometry as CIF:
```
data_Hf3Ni
_cell_length_a 5.402
_cell_length_b 5.402
_cell_length_c 5.402
_cell_angle_alpha 135.60
_cell_angle_beta 135.60
_cell_angle_gamma 64.60
_symmetry_space_group_name_H-M 'P 1'
_symmetry_Int_Tables_number 1
loop_
_symmetry_equiv_pos_as_xyz
'x,y,z'
loop_
_atom_site_label
_atom_site_fract_x
_atom_site_fract_y
_atom_site_fract_z
Hf1 0.500 0.500 0.000
Hf2 0.750 0.250 0.500
Hf3 0.250 0.750 0.500
Ni1 0.000 0.000 0.000
```

**Energy of formation from the pure elements**: 0.0293 eV/atom

(15)
The following is a DFT calculation (PBE) of Hf3Ni after structural relaxation.

Geometry as CIF:
```
data_Hf3Ni
_cell_length_a 4.724
_cell_length_b 4.724
_cell_length_c 4.724
_cell_angle_alpha 60.00
_cell_angle_beta 60.00
_cell_angle_gamma 60.00
_symmetry_space_group_name_H-M 'P 1'
_symmetry_Int_Tables_number 1
loop_
_symmetry_equiv_pos_as_xyz
'x,y,z'
loop_
_atom_site_label
_atom_site_fract_x
_atom_site_fract_y
_atom_site_fract_z
Hf1 0.000 0.000 0.000
Hf2 0.250 0.250 0.250
Hf3 0.500 0.500 0.500
Ni1 0.750 0.750 0.750
```

**Energy of formation from the pure elements**: 0.0931 eV/atom

(16)
The following is a DFT calculation (PBE) of Hf2Ni after structural relaxation.

Geometry as CIF:
```
data_Hf2Ni
_cell_length_a 7.626
_cell_length_b 7.626
_cell_length_c 7.626
_cell_angle_alpha 60.00
_cell_angle_beta 60.00
_cell_angle_gamma 60.00
_symmetry_space_group_name_H-M 'P 1'
_symmetry_Int_Tables_number 1
loop_
_symmetry_equiv_pos_as_xyz
'x,y,z'
loop_
_atom_site_label
_atom_site_fract_x
_atom_site_fract_y
_atom_site_fract_z
Hf1 0.375 0.375 0.375
Hf2 0.875 0.375 0.375
Hf3 0.375 0.875 0.375
Hf4 0.375 0.375 0.875
Ni1 0.250 0.250 0.250
Ni2 0.500 0.500 0.500
```

**Energy of formation from the pure elements**: 2.1365 eV/atom

(17)
The following is a DFT calculation (PBE) of Hf3Ni after structural relaxation.

Geometry as CIF:
```
data_Hf3Ni
_cell_length_a 5.949
_cell_length_b 5.949
_cell_length_c 4.952
_cell_angle_alpha 90.00
_cell_angle_beta 90.00
_cell_angle_gamma 120.00
_symmetry_space_group_name_H-M 'P 1'
_symmetry_Int_Tables_number 1
loop_
_symmetry_equiv_pos_as_xyz
'x,y,z'
loop_
_atom_site_label
_atom_site_fract_x
_atom_site_fract_y
_atom_site_fract_z
Hf1 0.172 0.344 0.250
Hf2 0.172 0.828 0.250
Hf3 0.656 0.828 0.250
Hf4 0.344 0.172 0.750
Hf5 0.828 0.172 0.750
Hf6 0.828 0.656 0.750
Ni1 0.667 0.333 0.250
Ni2 0.333 0.667 0.750
```

**Energy of formation from the pure elements**: 0.0367 eV/atom

(18)
The following is a DFT calculation (PBE) of HfNi after structural relaxation.

Geometry as CIF:
```
data_HfNi
_cell_length_a 3.979
_cell_length_b 3.979
_cell_length_c 3.979
_cell_angle_alpha 60.00
_cell_angle_beta 60.00
_cell_angle_gamma 60.00
_symmetry_space_group_name_H-M 'P 1'
_symmetry_Int_Tables_number 1
loop_
_symmetry_equiv_pos_as_xyz
'x,y,z'
loop_
_atom_site_label
_atom_site_fract_x
_atom_site_fract_y
_atom_site_fract_z
Hf1 0.000 0.000 0.000
Ni1 0.250 0.250 0.250
```

**Energy of formation from the pure elements**: 0.5793 eV/atom

(19)
The following is a DFT calculation (PBE) of Hf2Ni after structural relaxation.

Geometry as CIF:
```
data_Hf2Ni
_cell_length_a 5.990
_cell_length_b 5.990
_cell_length_c 3.548
_cell_angle_alpha 90.00
_cell_angle_beta 90.00
_cell_angle_gamma 90.00
_symmetry_space_group_name_H-M 'P 1'
_symmetry_Int_Tables_number 1
loop_
_symmetry_equiv_pos_as_xyz
'x,y,z'
loop_
_atom_site_label
_atom_site_fract_x
_atom_site_fract_y
_atom_site_fract_z
Hf1 0.290 0.290 0.000
Hf2 0.710 0.710 0.000
Hf3 0.790 0.210 0.500
Hf4 0.210 0.790 0.500
Ni1 0.000 0.000 0.000
Ni2 0.500 0.500 0.500
```

**Energy of formation from the pure elements**: 0.1741 eV/atom

(20)
The following is a DFT calculation (PBE) of HfNi after structural relaxation.

Geometry as CIF:
```
data_HfNi
_cell_length_a 3.059
_cell_length_b 3.059
_cell_length_c 4.038
_cell_angle_alpha 90.00
_cell_angle_beta 90.00
_cell_angle_gamma 120.00
_symmetry_space_group_name_H-M 'P 1'
_symmetry_Int_Tables_number 1
loop_
_symmetry_equiv_pos_as_xyz
'x,y,z'
loop_
_atom_site_label
_atom_site_fract_x
_atom_site_fract_y
_atom_site_fract_z
Hf1 0.667 0.333 0.750
Ni1 0.333 0.667 0.250
```

**Energy of formation from the pure elements**: -0.0711 eV/atom